No. 1
# ReGeWSe2

A crystal of ReGeWSe2 relaxed with PBEsol (SCAN, Alexandria).

Lattice parameters (Å, degrees): 4.7246 4.7246 4.6028 90.00 90.00 90.00
Closest atoms and distances in Å follow each position.
Element x y z (fractional)
Re 0.0000 0.0000 0.0000  2 Ge 2.30
Ge 0.0000 0.0000 0.5000  2 Re 2.30, 4 Se 2.36
W 0.5000 0.5000 0.0000  8 Se 3.30, 4 Re 3.34
Se 0.0000 0.5000 0.5000  2 Ge 2.36
Se 0.5000 0.0000 0.5000  2 Ge 2.36

Output
DOS at the Fermi energy   0.711 states/eV/atom
Spin magnetization   2.5 μB per cell
Electronic total energy   -37.88 eV/atom

No. 2
# ReSi2Ge

A crystal of ReSi2Ge relaxed with PBEsol (SCAN, Alexandria).

Lattice parameters (Å, degrees): 6.6278 6.6278 6.6278 129.76 129.76 73.78
Closest atoms and distances in Å follow each position.
Element x y z (fractional)
Re 0.0000 0.0000 0.0000  4 Si 2.34
Re 0.7500 0.2500 0.5000  4 Si 2.34
Si 0.1103 0.6250 0.9853  2 Re 2.34, 2 Ge 2.44
Si 0.3750 0.3603 0.4853  2 Re 2.34, 2 Ge 2.44
Si 0.6397 0.1250 0.0147  2 Re 2.34, 2 Ge 2.44
Si 0.8750 0.8897 0.5147  2 Re 2.34, 2 Ge 2.44
Ge 0.2500 0.7500 0.5000  4 Si 2.44
Ge 0.5000 0.5000 0.0000  4 Si 2.44

Output
DOS at the Fermi energy   0.459 states/eV/atom
Spin magnetization   2.0 μB per cell
Electronic total energy   -26.84 eV/atom

No. 3
# TaRe3Ge

A crystal of TaRe3Ge relaxed with PBEsol (SCAN, Alexandria).

Lattice parameters (Å, degrees): 4.7466 4.7466 4.7466 90.00 90.00 90.00
Closest atoms and distances in Å follow each position.
Element x y z (fractional)
Ta 0.0000 0.0000 0.0000  6 Re 2.37
Re 0.0000 0.0000 0.5000  2 Ta 2.37
Re 0.0000 0.5000 0.0000  2 Ta 2.37
Re 0.5000 0.0000 0.0000  2 Ta 2.37
Ge 0.5000 0.5000 0.5000  12 Re 3.36

Output
DOS at the Fermi energy   0.794 states/eV/atom
Spin magnetization   2.4 μB per cell
Electronic total energy   -57.34 eV/atom
Formation enthalpy at 0 K   2458 meV per atom

No. 4
# TlRe3Ge

A crystal of TlRe3Ge relaxed with PBEsol (SCAN, Alexandria).

Lattice parameters (Å, degrees): 4.8911 4.8911 4.8911 90.00 90.00 90.00
Closest atoms and distances in Å follow each position.
Element x y z (fractional)
Tl 0.0000 0.0000 0.0000  6 Re 2.45
Re 0.0000 0.0000 0.5000  2 Tl 2.45
Re 0.0000 0.5000 0.0000  2 Tl 2.45
Re 0.5000 0.0000 0.0000  2 Tl 2.45
Ge 0.5000 0.5000 0.5000  12 Re 3.46

Output
DOS at the Fermi energy   1.065 states/eV/atom
Spin magnetization   3.0 μB per cell
Electronic total energy   -57.43 eV/atom
Formation enthalpy at 0 K   3516 meV per atom

No. 5
# TlReGe2

A crystal of TlReGe2 relaxed with PBEsol (SCAN, Alexandria).

Lattice parameters (Å, degrees): 4.6518 4.6518 4.6518 60.00 60.00 60.00
Closest atoms and distances in Å follow each position.
Element x y z (fractional)
Tl 0.0000 0.0000 0.0000  8 Ge 2.85
Re 0.5000 0.5000 0.5000  8 Ge 2.85
Ge 0.2500 0.2500 0.2500  4 Tl 2.85, 4 Re 2.85
Ge 0.7500 0.7500 0.7500  4 Tl 2.85, 4 Re 2.85

Output
DOS at the Fermi energy   0.986 states/eV/atom
Spin magnetization   0.0 μB per cell
Electronic total energy   -44.37 eV/atom
Formation enthalpy at 0 K   1033 meV per atom

No. 6
# TlRe2Ge

A crystal of TlRe2Ge relaxed with PBEsol (SCAN, Alexandria).

Lattice parameters (Å, degrees): 4.4866 4.4866 4.4866 60.00 60.00 60.00
Closest atoms and distances in Å follow each position.
Element x y z (fractional)
Tl 0.0000 0.0000 0.0000  8 Re 2.75
Re 0.2500 0.2500 0.2500  4 Ge 2.75, 4 Tl 2.75
Re 0.7500 0.7500 0.7500  4 Tl 2.75, 4 Ge 2.75
Ge 0.5000 0.5000 0.5000  8 Re 2.75

Output
DOS at the Fermi energy   0.957 states/eV/atom
Spin magnetization   0.0 μB per cell
Electronic total energy   -57.34 eV/atom
Formation enthalpy at 0 K   1068 meV per atom

No. 7
# ReGe3W

A crystal of ReGe3W relaxed with PBEsol (SCAN, Alexandria).

Lattice parameters (Å, degrees): 4.8179 4.8179 4.8179 90.00 90.00 90.00
Closest atoms and distances in Å follow each position.
Element x y z (fractional)
Re 0.0000 0.0000 0.0000  12 Ge 3.41
Ge 0.0000 0.5000 0.5000  2 W 2.41
Ge 0.5000 0.0000 0.5000  2 W 2.41
Ge 0.5000 0.5000 0.0000  2 W 2.41
W 0.5000 0.5000 0.5000  6 Ge 2.41

Output
DOS at the Fermi energy   0.312 states/eV/atom
Spin magnetization   5.1 μB per cell
Electronic total energy   -38.01 eV/atom
Formation enthalpy at 0 K   1600 meV per atom

No. 8
# Y3ReGe

A crystal of Y3ReGe relaxed with PBEsol (SCAN, Alexandria).

Lattice parameters (Å, degrees): 5.2300 5.2300 5.2300 90.00 90.00 90.00
Closest atoms and distances in Å follow each position.
Element x y z (fractional)
Y 0.0000 0.0000 0.5000  2 Ge 2.62
Y 0.0000 0.5000 0.0000  2 Ge 2.62
Y 0.5000 0.0000 0.0000  2 Ge 2.62
Re 0.5000 0.5000 0.5000  12 Y 3.70
Ge 0.0000 0.0000 0.0000  6 Y 2.62

Output
DOS at the Fermi energy   1.581 states/eV/atom
Spin magnetization   1.9 μB per cell
Electronic total energy   -34.01 eV/atom
Formation enthalpy at 0 K   733 meV per atom

No. 9
# Zr2ReGe2

A crystal of Zr2ReGe2 relaxed with PBEsol (SCAN, Alexandria).

Lattice parameters (Å, degrees): 6.6326 6.6326 3.8869 90.00 90.00 90.00
Closest atoms and distances in Å follow each position.
Element x y z (fractional)
Zr 0.1714 0.3286 0.0000  6 Ge 2.66-2.82
Zr 0.3286 0.8286 0.0000  6 Ge 2.66-2.82
Zr 0.6714 0.1714 0.0000  6 Ge 2.66-2.82
Zr 0.8286 0.6714 0.0000  6 Ge 2.66-2.82
Re 0.0000 0.0000 0.5000  4 Ge 2.58
Re 0.5000 0.5000 0.5000  4 Ge 2.58
Ge 0.1345 0.6345 0.5000  1 Ge 2.52, 2 Re 2.58, 6 Zr 2.66-2.82
Ge 0.3655 0.1345 0.5000  1 Ge 2.52, 2 Re 2.58, 6 Zr 2.66-2.82
Ge 0.6345 0.8655 0.5000  1 Ge 2.52, 2 Re 2.58, 6 Zr 2.66-2.82
Ge 0.8655 0.3655 0.5000  1 Ge 2.52, 2 Re 2.58, 6 Zr 2.66-2.82

Output
DOS at the Fermi energy   0.349 states/eV/atom
Spin magnetization   0.0 μB per cell
Electronic total energy   -34.86 eV/atom
Formation enthalpy at 0 K   -726 meV per atom

No. 10
# GeRh2

A crystal of GeRh2 relaxed with PBEsol (SCAN, Alexandria).

Lattice parameters (Å, degrees): 5.4086 4.0002 7.5620 90.00 90.00 90.00
Closest atoms and distances in Å follow each position.
Element x y z (fractional)
Ge 0.2104 0.2500 0.1039  7 Rh 2.47-2.55
Ge 0.2896 0.7500 0.6039  7 Rh 2.47-2.55
Ge 0.7104 0.2500 0.3961  7 Rh 2.47-2.55
Ge 0.7896 0.7500 0.8961  7 Rh 2.47-2.55
Rh 0.0299 0.2500 0.7930  3 Ge 2.51-2.55, 4 Rh 2.78-2.80
Rh 0.1644 0.2500 0.4307  4 Ge 2.47-2.49
Rh 0.3356 0.7500 0.9307  4 Ge 2.47-2.49
Rh 0.4701 0.7500 0.2930  3 Ge 2.51-2.55, 4 Rh 2.78-2.80
Rh 0.5299 0.2500 0.7070  3 Ge 2.51-2.55, 4 Rh 2.78-2.80
Rh 0.6644 0.2500 0.0693  4 Ge 2.47-2.49
Rh 0.8356 0.7500 0.5693  4 Ge 2.47-2.49
Rh 0.9701 0.7500 0.2070  3 Ge 2.51-2.55, 4 Rh 2.78-2.80

Output
DOS at the Fermi energy   0.696 states/eV/atom
Spin magnetization   0.0 μB per cell
Electronic total energy   -29.40 eV/atom
Formation enthalpy at 0 K   -527 meV per atom